The following is a DFT calculation (PBE) of crystalline Mn2Cr3 at its relaxed geometry.

## Properties
The crystal system is monoclinic.

a b c (Å): 9.2560 4.7849 5.4025
angles (deg): 90.00 107.57 90.00
With the nearest neighbours (Å) after each atom.
Space group C2/c (No. 15)
Unique sites:
Mn (0.1996, 0.1315, 0.1535)  5 Cr 2.35-2.41, 1 Mn 2.42
Cr (0.0000, 0.1214, 0.7500)  4 Mn 2.39, 4 Cr 2.43-2.67
Cr (0.1025, 0.3760, 0.4520)  3 Mn 2.35-2.41, 3 Cr 2.42-2.43


The following is a DFT calculation (PBE) of crystalline Ba5RhBr5 at its relaxed geometry.

## Properties
The crystal system is monoclinic. The formation energy from raw total energies is -1.531 eV per atom.

a b c (Å): 15.5664 6.6512 9.4743
angles (deg): 90.00 107.83 90.00
With the nearest neighbours (Å) after each atom.
Space group C2/m (No. 12)
Unique sites:
Ba (0.0000, 0.0000, 0.0000)  2 Rh 3.33, 4 Br 3.54-3.65
Ba (0.1383, 0.5000, 0.8444)  1 Rh 2.96
Ba (0.1489, 0.5000, 0.3072)  1 Rh 3.12, 4 Br 3.36-3.39
Rh (0.0000, 0.5000, 0.0000)  4 Ba 2.96-3.12
Br (0.0000, 0.5000, 0.5000)  4 Ba 3.31-3.36
Br (0.1810, 0.0000, 0.8471)  5 Ba 3.38-3.54
Br (0.1946, 0.0000, 0.3341)  5 Ba 3.39-3.65


The following is a DFT calculation (PBE) of crystalline PmGa3Ru at its relaxed geometry.

## Properties
The crystal system is cubic.

a b c (Å): 4.7366 4.7366 4.7366
angles (deg): 90.00 90.00 90.00
With the nearest neighbours (Å) after each atom.
Space group Pm-3m (No. 221)
Unique sites:
Pm (0.0000, 0.0000, 0.0000)  12 Ga 3.35
Ga (0.0000, 0.5000, 0.5000)  2 Ru 2.37
Ru (0.5000, 0.5000, 0.5000)  6 Ga 2.37


Number 1: M_tot 0.00 μB per formula unit, total energy -9.28 eV per atom. Number 2: M_tot 1.38 μB per formula unit, total energy -3.83 eV per atom. Number 3: M_tot 0.00 μB per formula unit, total energy -5.00 eV per atom.